5
Lattice="3.963 0.000 0.000 0.000 3.963 0.000 -1.981 -1.981 4.691" Properties=species:S:1:pos:R:3 comment="CeFe2Si2 GGA-PBEsol relaxed" m_tot_mub_per_cell=0.00 e_form_raw_ev_per_atom=-0.70 final_energy_ev_per_atom=-7.90 pbc="T T T"
Ce 0.000 0.000 0.000
Si 1.981 1.981 1.272
Si 0.000 0.000 3.419
Fe 1.981 0.000 2.346
Fe 0.000 1.981 2.346

---

2
Lattice="3.557 0.000 0.000 1.779 3.081 0.000 1.779 1.027 2.905" Properties=species:S:1:pos:R:3 comment="PrO GGA-PBEsol relaxed" m_tot_mub_per_cell=0.00 e_form_raw_ev_per_atom=-2.80 final_energy_ev_per_atom=-8.02 pbc="T T T"
O 3.557 2.054 1.452
Pr 0.000 0.000 0.000

---

4
Lattice="-0.162 -1.723 -3.148 0.076 -4.757 2.600 -4.960 3.128 0.593" Properties=species:S:1:pos:R:3 comment="AlCdCl2 GGA-PBEsol relaxed" m_tot_mub_per_cell=0.00 e_form_raw_ev_per_atom=-0.64 final_energy_ev_per_atom=-2.97 pbc="T T T"
Cl -2.755 -0.824 -1.456
Cl -4.847 -3.113 -0.096
Al -1.035 -4.284 0.349
Cd -1.498 -1.722 1.020

---

Please write out number 1 again, unchanged.
5
Lattice="3.963 0.000 0.000 0.000 3.963 0.000 -1.981 -1.981 4.691" Properties=species:S:1:pos:R:3 comment="CeFe2Si2 GGA-PBEsol relaxed" m_tot_mub_per_cell=0.00 e_form_raw_ev_per_atom=-0.70 final_energy_ev_per_atom=-7.90 pbc="T T T"
Ce 0.000 0.000 0.000
Si 1.981 1.981 1.272
Si 0.000 0.000 3.419
Fe 1.981 0.000 2.346
Fe 0.000 1.981 2.346